Record 1
Entry from Alexandria via LeMat-Bulk: crystalline YSnSb3 at its relaxed geometry (PBE-GGA).

Geometry as POSCAR:
```
YSnSb3
1.0
5.568 0.000 0.000
0.000 5.568 0.000
0.000 0.000 5.568
Y Sb Sn
1 3 1
Cartesian
2.784 2.784 2.784
0.000 2.784 0.000
0.000 0.000 2.784
2.784 0.000 0.000
0.000 0.000 0.000
```

Summary:
Crystal system = cubic
Formation energy (no corrections) = 439 meV/atom
Calculated volume = 172.6 Å³/cell
E above lowest polymorph = 0.083 eV/atom

=====

Record 2
Entry from Alexandria via LeMat-Bulk: crystalline InCoHg2 at its relaxed geometry (PBE-GGA).

Geometry as POSCAR:
```
InCoHg2
1.0
-2.497 2.480 2.271
-0.683 -3.144 2.682
6.200 2.574 7.868
Co Hg In
2 4 2
Cartesian
-1.590 -0.332 2.476
1.964 -0.450 6.513
-0.043 1.748 3.673
0.758 -0.958 3.975
3.443 1.615 7.815
1.882 1.417 10.177
0.000 0.000 0.000
1.057 2.361 6.307
```

Summary:
Crystal system = tetragonal
Energy of formation from the pure elements = 1.81 eV/f.u.
Calculated volume = 173.8 Å³/cell

=====

Record 3
Entry from Alexandria via LeMat-Bulk: crystalline BaScCdRe2 at its relaxed geometry (PBE-GGA).

Geometry as POSCAR:
```
BaScCdRe2
1.0
-3.643 -3.610 0.585
-0.151 -0.668 -5.057
3.654 -3.628 0.370
Sc Re Ba Cd
1 2 1 1
Cartesian
-0.075 -0.334 -2.529
1.827 -1.814 0.185
-1.822 -1.805 0.293
-0.070 -3.953 -2.051
0.000 0.000 0.000
```

Summary:
Crystal system = tetragonal
Energy of formation from the pure elements = 8.88 eV/f.u.
Calculated volume = 136.0 Å³/cell

=====

Record 4
Entry from Alexandria via LeMat-Bulk: crystalline Na2MnCoBr6 at its relaxed geometry (PBE-GGA).

Geometry as POSCAR:
```
Na2MnCoBr6
1.0
7.116 0.000 0.000
3.558 6.162 0.000
3.558 2.054 6.092
Na Mn Co Br
2 1 1 6
Cartesian
7.116 4.108 2.531
3.558 2.054 5.600
10.673 6.162 3.288
3.558 2.054 0.234
5.720 1.710 1.604
5.737 6.516 1.604
9.891 4.098 1.604
8.445 5.786 4.696
7.903 2.118 4.696
4.998 4.421 4.696
```

Summary:
Crystal system = trigonal
Formation energy (no corrections) = -864 meV/atom
Calculated volume = 267.1 Å³/cell

=====

Record 5
Entry from Alexandria via LeMat-Bulk: crystalline Ho4TlInAg2 at its relaxed geometry (PBE-GGA).

Geometry as POSCAR:
```
Ho4TlInAg2
1.0
5.236 0.000 0.000
2.618 4.534 0.000
2.618 1.511 8.544
Ho Tl In Ag
4 1 1 2
Cartesian
5.236 3.023 7.477
7.853 4.534 3.203
2.618 1.511 5.342
5.236 3.023 1.068
5.236 3.023 4.272
0.000 0.000 0.000
7.853 4.534 6.469
2.618 1.511 2.075
```

Summary:
Crystal system = trigonal
Energy of formation from the pure elements = -2.96 eV/f.u.
Calculated volume = 202.8 Å³/cell

=====

Record 6
Entry from Alexandria via LeMat-Bulk: crystalline MgZr2Cd at its relaxed geometry (PBE-GGA).

Geometry as POSCAR:
```
MgZr2Cd
1.0
-1.985 -0.790 4.992
4.409 -2.987 -1.063
1.878 2.373 1.123
Mg Zr Cd
1 2 1
Cartesian
3.144 -0.307 0.030
0.000 0.000 0.000
1.212 -1.889 1.965
-0.053 0.791 3.057
```

Summary:
Crystal system = orthorhombic
Energy of formation from the pure elements = -0.13 eV/f.u.
Calculated volume = 87.4 Å³/cell

=====

Record 7
Entry from Alexandria via LeMat-Bulk: crystalline LiTaIr at its relaxed geometry (PBE-GGA).

Geometry as POSCAR:
```
LiTaIr
1.0
4.003 0.000 0.000
2.001 3.466 0.000
2.001 1.155 3.268
Ir Li Ta
1 1 1
Cartesian
4.003 2.311 1.634
6.004 3.466 2.451
0.000 0.000 0.000
```

Summary:
Crystal system = cubic
Energy of formation from the pure elements = 1.33 eV/f.u.
Calculated volume = 45.3 Å³/cell
E above lowest polymorph = 0.679 eV/atom

=====

Record 8
Entry from Alexandria via LeMat-Bulk: crystalline RbIrSe3 at its relaxed geometry (PBE-GGA).

Geometry as POSCAR:
```
RbIrSe3
1.0
-2.928 0.701 -4.102
-4.151 -0.131 2.940
0.299 5.038 0.647
Ir Se Rb
1 3 1
Cartesian
0.000 0.000 0.000
-2.076 -0.066 1.470
0.150 2.519 0.324
-1.464 0.351 -2.051
-3.390 2.804 -0.258
```

Summary:
Crystal system = cubic
Formation energy (no corrections) = -37 meV/atom
Calculated volume = 131.8 Å³/cell

=====

Record 9
Entry from Alexandria via LeMat-Bulk: crystalline Tm8Tl2Cd at its relaxed geometry (PBE-GGA).

Geometry as POSCAR:
```
Tm8Tl2Cd
1.0
4.847 0.000 -1.472
-1.046 7.743 -3.444
-0.008 -0.844 8.690
Tm Tl Cd
8 2 1
Cartesian
2.263 6.485 -1.263
1.078 3.758 3.551
0.530 0.849 1.747
4.516 1.549 6.154
3.263 6.051 2.028
2.715 3.141 0.224
1.530 0.414 5.038
-0.722 5.350 -2.379
0.228 5.073 0.752
3.565 1.826 3.023
2.423 0.000 -0.736
```

Summary:
Crystal system = orthorhombic
Energy of formation from the pure elements = -0.85 eV/f.u.
Calculated volume = 310.7 Å³/cell
E above lowest polymorph = 0.000 eV/atom

=====

Record 10
Entry from Alexandria via LeMat-Bulk: crystalline Ho2ZnSn3 at its relaxed geometry (PBE-GGA).

Geometry as POSCAR:
```
Ho2ZnSn3
1.0
5.835 0.000 0.000
0.000 7.822 -0.136
0.000 -2.696 7.343
Ho Zn Sn
4 2 6
Cartesian
4.376 3.177 1.141
1.459 1.948 6.066
1.459 5.090 3.832
4.376 0.035 3.376
4.376 4.546 6.393
1.459 0.579 0.814
1.459 2.116 2.975
4.376 3.010 4.233
2.918 -0.867 6.042
0.000 -0.867 6.042
2.918 5.992 1.165
0.000 5.992 1.165
```

Summary:
Crystal system = orthorhombic
Energy of formation from the pure elements = -1.27 eV/f.u.
Calculated volume = 333.0 Å³/cell

=====

Record 11
Entry from Alexandria via LeMat-Bulk: crystalline Ca3MgMo at its relaxed geometry (PBE-GGA).

Geometry as POSCAR:
```
Ca3MgMo
1.0
-2.959 -3.112 3.593
3.696 -4.167 -0.565
2.988 2.073 4.257
Mg Mo Ca
1 1 3
Cartesian
1.863 -2.603 3.642
0.000 0.000 0.000
1.848 -2.083 -0.283
1.494 1.037 2.128
-1.479 -1.556 1.796
```

Summary:
Crystal system = cubic
Energy of formation from the pure elements = 3.90 eV/f.u.
Calculated volume = 175.5 Å³/cell
E above lowest polymorph = 0.000 eV/atom

=====

Record 12
Entry from Alexandria via LeMat-Bulk: crystalline AcPr3Tm8 at its relaxed geometry (PBE-GGA).

Geometry as POSCAR:
```
AcPr3Tm8
1.0
-5.012 6.473 3.162
-6.611 -5.266 -2.362
5.486 -6.088 3.141
Ac Pr Tm
1 3 8
Cartesian
0.000 0.000 0.000
-6.087 -2.183 0.591
-0.049 -2.698 3.350
-0.563 -5.677 0.389
-2.873 0.405 1.770
-3.264 -5.288 2.171
-8.514 0.993 2.158
2.377 -5.872 1.782
-2.365 -2.631 0.338
-3.211 3.410 3.214
-3.772 -2.250 3.602
-2.926 -8.291 0.727
```

Summary:
Crystal system = orthorhombic
Energy of formation from the pure elements = 3.49 eV/f.u.
Calculated volume = 424.1 Å³/cell

=====

What is the formula in the second record? InCoHg2